[1]
First-principles (PBE) data for a relaxed TbPr2Ho crystal, as listed in Alexandria.

Results
energy of formation from the pure elements: 0.109 eV per atom
spin magnetization: 0.003 Bohr magnetons per cell
energy above the lowest structure with this stoichiometry: 0.098 eV per atom
DFT total energy: -4.582 eV per atom

Cell lengths 8.1569, 8.1569, 8.1569 Å; angles 90.00, 90.00, 90.00 degrees
Last column: nearest neighbours and their distance in Å.
Space group Fm-3m (No. 225)
Symmetry-distinct sites (fractional):
Tb: 0.0000 0.0000 0.0000 (multiplicity 4)  8 Pr 3.53
Pr: 0.2500 0.2500 0.2500 (multiplicity 8)  4 Ho 3.53, 4 Tb 3.53
Ho: 0.0000 0.0000 0.5000 (multiplicity 4)  8 Pr 3.53



[2]
First-principles (PBE) data for a relaxed Tb3Pr2Ho6 crystal, as listed in Alexandria.

Results
energy of formation from the pure elements: 0.266 eV per atom
spin magnetization: 0.009 Bohr magnetons per cell
energy above the lowest structure with this stoichiometry: 0.085 eV per atom
DFT total energy: -4.362 eV per atom

Cell lengths 4.7386, 4.7386, 33.3082 Å; angles 90.00, 90.00, 90.00 degrees
Last column: nearest neighbours and their distance in Å.
Space group I4/mmm (No. 139)
Symmetry-distinct sites (fractional):
Tb: 0.0000 0.0000 0.0000 (multiplicity 2)  8 Pr 3.69
Tb: 0.0000 0.0000 0.2019 (multiplicity 4)  9 Ho 3.36-3.55
Pr: 0.0000 0.0000 0.4535 (multiplicity 4)  1 Pr 3.09
Ho: 0.0000 0.0000 0.3046 (multiplicity 4)  5 Tb 3.36-3.42, 4 Ho 3.39
Ho: 0.0000 0.5000 0.1226 (multiplicity 8)  6 Ho 3.35-3.39, 2 Pr 3.47, 2 Tb 3.55



[3]
First-principles (PBE) data for a relaxed Tb3Pr8Ho4 crystal, as listed in Alexandria.

Results
energy of formation from the pure elements: 0.327 eV per atom
spin magnetization: 0.000 Bohr magnetons per cell
energy above the lowest structure with this stoichiometry: 0.166 eV per atom
DFT total energy: -4.368 eV per atom

Cell lengths 13.9386, 12.2704, 6.9253 Å; angles 90.00, 118.54, 90.00 degrees
Last column: nearest neighbours and their distance in Å.
Space group C2/m (No. 12)
Symmetry-distinct sites (fractional):
Tb: 0.0000 0.0000 0.0000 (multiplicity 2)  4 Pr 3.12-3.13
Tb: 0.2500 0.2500 0.5000 (multiplicity 4)  2 Ho 3.46, 8 Pr 3.49-3.64
Pr: 0.0000 0.2052 0.5000 (multiplicity 4)  4 Pr 3.51-3.56, 2 Tb 3.53, 3 Ho 3.59-3.62
Pr: 0.0000 0.2541 0.0000 (multiplicity 4)  1 Ho 3.02, 1 Tb 3.12
Pr: 0.2053 0.0000 0.6828 (multiplicity 4)  4 Pr 3.45-3.58, 2 Tb 3.49, 3 Ho 3.62-3.65
Pr: 0.2448 0.5000 0.7784 (multiplicity 4)  1 Ho 3.01, 1 Tb 3.13
Ho: 0.0000 0.5000 0.0000 (multiplicity 2)  2 Pr 3.02
Ho: 0.0000 0.5000 0.5000 (multiplicity 2)  2 Pr 3.01
Ho: 0.2500 0.2500 0.0000 (multiplicity 4)  8 Pr 3.42-3.65, 2 Tb 3.46



- DFT total energy of number 3 (Tb3Pr8Ho4)?
  -4.368 eV per atom